Here is PmCo2BiO8 after structural relaxation from Alexandria via LeMat-Bulk. Energies are from GGA+U.

a = 6.019 Å, b = 6.019 Å, c = 6.019 Å
α = 106.39°, β = 106.39°, γ = 115.84°
Site moments in Bohr magnetons follow the coordinates.
Positions (direct):
Pm (0.000, 0.000, 0.000)  0.02
Co (0.750, 0.250, 0.500)  -0.61
Co (0.500, 0.500, 0.000)  2.92
Bi (0.250, 0.750, 0.500)  0.01
O (0.392, 0.062, 0.330)  0.05
O (0.316, 0.502, 0.185)  0.29
O (0.316, 0.131, 0.815)  0.29
O (0.732, 0.062, 0.670)  0.05
O (0.869, 0.684, 0.185)  0.29
O (0.938, 0.268, 0.330)  0.05
O (0.938, 0.608, 0.670)  0.05
O (0.498, 0.684, 0.815)  0.29

Summary:
Symmetry: I-4m2
D(E_F) in states/eV per atom: 0.236
E in Ry/atom: -0.4496